# 1
AlGeMo3 at its PBEsol-relaxed geometry, computed with SCAN.

The structure in extended XYZ format:
```
5
Lattice="-0.952 -3.294 -2.885 -1.502 -2.528 3.382 -4.113 1.685 -0.567" Properties=species:S:1:pos:R:3 pbc="T T T"
Ge -3.283 -2.069 -0.035
Al 0.000 0.000 0.000
Mo -0.751 -1.264 1.691
Mo -0.476 -1.647 -1.442
Mo -2.057 0.842 -0.284
```

Final energy = -123.74 eV per cell
Spin magnetization = 0.03 μB/cell
SG = Pm-3m (221)

---

# 2
AlGe3Mo2 at its PBEsol-relaxed geometry, computed with SCAN.

The structure in extended XYZ format:
```
18
Lattice="4.796 -0.001 -0.003 -2.398 4.154 0.000 0.069 0.040 13.345" Properties=species:S:1:pos:R:3 pbc="T T T"
Ge 1.183 0.699 3.362
Ge 3.640 0.700 1.080
Ge 1.246 0.736 10.039
Ge 2.439 2.761 5.563
Ge 2.437 2.800 12.193
Ge 3.683 0.682 7.784
Ge 1.220 3.485 3.347
Ge -1.222 3.478 1.092
Ge -1.150 3.497 7.790
Al 1.260 3.515 10.017
Al 0.020 1.373 5.568
Al 0.056 1.417 12.210
Mo 1.247 2.095 7.781
Mo 2.454 0.040 12.276
Mo 0.030 4.158 5.556
Mo 1.199 2.092 1.155
Mo -1.145 2.115 9.963
Mo 3.608 2.092 3.293
```

Final energy = -408.94 eV per cell
Spin magnetization = 0.00 μB/cell
SG = P1 (1)

---

# 3
AlGe2N at its PBEsol-relaxed geometry, computed with SCAN.

The structure in extended XYZ format:
```
4
Lattice="-2.391 2.678 2.484 -4.357 -0.277 -0.058 -2.134 -1.567 3.471" Properties=species:S:1:pos:R:3 pbc="T T T"
Ge -2.220 0.208 1.474
Ge -6.661 0.625 4.423
N 0.000 0.000 0.000
Al -4.441 0.417 2.949
```

Formation energy without anion corrections = 1.177 eV per atom
Final energy = -50.51 eV per cell
Spin magnetization = 0.00 μB/cell
SG = Fm-3m (225)

---

# 4
AlGeTe2N at its PBEsol-relaxed geometry, computed with SCAN.

The structure in extended XYZ format:
```
5
Lattice="-2.402 -2.333 0.777 3.208 -1.907 4.189 -2.411 3.652 3.510" Properties=species:S:1:pos:R:3 pbc="T T T"
Te -1.206 1.826 1.755
Te 1.604 -0.954 2.094
Ge -0.803 -0.294 4.238
N -1.201 -1.166 0.389
Al 0.000 0.000 0.000
```

Formation energy without anion corrections = 0.280 eV per atom
Final energy = -109.23 eV per cell
Spin magnetization = 0.00 μB/cell
SG = P4/mmm (123)